(1)
Below is a geometry-optimized TlTcTe2 structure, with properties calculated at the PBE-GGA level.

The structure in CIF format:
```
data_TlTcTe2
_chemical_formula_sum 'Tl1 Tc1 Te2'
_space_group_name_H-M_alt 'P 1'
_space_group_IT_number 1
_space_group_name_Hall 'P 1'
_cell_length_a 3.853
_cell_length_b 4.680
_cell_length_c 5.698
_cell_angle_alpha 90.00
_cell_angle_beta 90.00
_cell_angle_gamma 90.00
loop_
_atom_site_label
_atom_site_fract_x
_atom_site_fract_y
_atom_site_fract_z
Tl1 0.000 0.000 0.000
Tc1 0.500 0.000 0.500
Te1 0.000 0.500 0.500
Te2 0.500 0.500 0.000
```

Results
Spin magnetization (μB/cell): 2.82
Relative energy among the computed polymorphs (eV per atom): 0.724
SG: Pmmm (47)
Mass density (g/cm3): 9.01
Formation energy (no corrections) (eV per atom): 0.746

***

(2)
Below is a geometry-optimized TlTcTe2 structure, with properties calculated at the PBE-GGA level.

The structure in CIF format:
```
data_TlTcTe2
_chemical_formula_sum 'Tl1 Tc1 Te2'
_space_group_name_H-M_alt 'P 1'
_space_group_IT_number 1
_space_group_name_Hall 'P 1'
_cell_length_a 4.123
_cell_length_b 4.123
_cell_length_c 8.652
_cell_angle_alpha 95.58
_cell_angle_beta 95.58
_cell_angle_gamma 48.82
loop_
_atom_site_label
_atom_site_fract_x
_atom_site_fract_y
_atom_site_fract_z
Tl1 0.000 0.000 0.000
Tc1 0.500 0.500 0.500
Te1 0.220 0.220 0.674
Te2 0.780 0.780 0.326
```

Results
Spin magnetization (μB/cell): 0.00
Relative energy among the computed polymorphs (eV per atom): 0.000
SG: C2/m (12)
Mass density (g/cm3): 8.41
Formation energy (no corrections) (eV per atom): 0.022

***

(3)
Below is a geometry-optimized Tl2TcTe structure, with properties calculated at the PBE-GGA level.

The structure in CIF format:
```
data_Tl2TcTe
_chemical_formula_sum 'Tl2 Tc1 Te1'
_space_group_name_H-M_alt 'P 1'
_space_group_IT_number 1
_space_group_name_Hall 'P 1'
_cell_length_a 11.033
_cell_length_b 11.033
_cell_length_c 11.033
_cell_angle_alpha 16.78
_cell_angle_beta 16.78
_cell_angle_gamma 16.78
loop_
_atom_site_label
_atom_site_fract_x
_atom_site_fract_y
_atom_site_fract_z
Tl1 0.236 0.236 0.236
Tl2 0.764 0.764 0.764
Tc1 0.500 0.500 0.500
Te1 0.000 0.000 0.000
```

Results
Spin magnetization (μB/cell): 1.16
Relative energy among the computed polymorphs (eV per atom): 0.492
SG: R-3m (166)
Mass density (g/cm3): 10.79
Formation energy (no corrections) (eV per atom): 0.652

***

(4)
Below is a geometry-optimized Tl2TcTe structure, with properties calculated at the PBE-GGA level.

The structure in CIF format:
```
data_Tl2TcTe
_chemical_formula_sum 'Tl2 Tc1 Te1'
_space_group_name_H-M_alt 'P 1'
_space_group_IT_number 1
_space_group_name_Hall 'P 1'
_cell_length_a 5.465
_cell_length_b 5.465
_cell_length_c 5.465
_cell_angle_alpha 126.66
_cell_angle_beta 126.66
_cell_angle_gamma 78.80
loop_
_atom_site_label
_atom_site_fract_x
_atom_site_fract_y
_atom_site_fract_z
Tl1 0.000 0.000 0.000
Tl2 0.750 0.250 0.500
Tc1 0.250 0.750 0.500
Te1 0.500 0.500 0.000
```

Results
Spin magnetization (μB/cell): 2.99
Relative energy among the computed polymorphs (eV per atom): 0.530
SG: I-4m2 (119)
Mass density (g/cm3): 10.36
Formation energy (no corrections) (eV per atom): 0.691

***

Number 2 is which compound? TlTcTe2